(1)
## BeAlZn2 (GGA-PBE)

Data for a geometry-optimized BeAlZn2 structure.

Cell lengths 4.3016, 4.3016, 4.3016 Å; angles 60.00, 60.00, 60.00 degrees
Positions (direct):
Be  0.0000  0.0000  0.0000
Al  0.2500  0.2500  0.2500
Zn  0.5000  0.5000  0.5000
Zn  0.7500  0.7500  0.7500

## Properties
energy relative to the lowest polymorph listed for this composition: 148 meV per atom
energy relative to the elements: 1.1 eV/f.u.
total energy: -8.9 eV per formula unit
SG: F-43m (216)

(2)
## Be2AlZn (GGA-PBE)

Data for a geometry-optimized Be2AlZn structure.

Cell lengths 4.5102, 4.5102, 4.1478 Å; angles 99.31, 99.31, 36.15 degrees
Positions (direct):
Be  0.0000  0.0000  0.0000
Be  0.7220  0.7220  0.2374
Al  0.2476  0.2476  0.7681
Zn  0.4803  0.4803  0.4676

## Properties
energy relative to the lowest polymorph listed for this composition: 71 meV per atom
energy relative to the elements: 1.0 eV/f.u.
total energy: -11.5 eV per formula unit
SG: Cm (8)

(3)
## BeAl2Zn (GGA-PBE)

Data for a geometry-optimized BeAl2Zn structure.

Cell lengths 4.3133, 4.3133, 3.0850 Å; angles 90.00, 90.00, 90.00 degrees
Positions (direct):
Be  0.0000  0.0000  0.0000
Al  0.0000  0.5000  0.5000
Al  0.5000  0.0000  0.5000
Zn  0.5000  0.5000  0.0000

## Properties
energy relative to the lowest polymorph listed for this composition: 150 meV per atom
energy relative to the elements: 1.1 eV/f.u.
total energy: -11.4 eV per formula unit
SG: P4/mmm (123)

(4)
## BeAl2Zn (GGA-PBE)

Data for a geometry-optimized BeAl2Zn structure.

Cell lengths 8.7227, 8.7227, 8.7227 Å; angles 153.68, 153.68, 37.57 degrees
Positions (direct):
Be  0.0000  0.0000  0.0000
Be  0.7500  0.2500  0.5000
Al  0.1089  0.6250  0.9839
Al  0.3750  0.3589  0.4839
Al  0.6411  0.1250  0.0161
Al  0.8750  0.8911  0.5161
Zn  0.2500  0.7500  0.5000
Zn  0.5000  0.5000  0.0000

## Properties
energy relative to the lowest polymorph listed for this composition: 195 meV per atom
energy relative to the elements: 1.3 eV/f.u.
total energy: -11.2 eV per formula unit
SG: I-42d (122)

(5)
## BeAlZn4 (GGA-PBE)

Data for a geometry-optimized BeAlZn4 structure.

Cell lengths 5.0259, 5.0259, 5.0259 Å; angles 60.00, 60.00, 60.00 degrees
Positions (direct):
Be  0.0000  0.0000  0.0000
Al  0.2500  0.2500  0.2500
Zn  0.1240  0.6253  0.6253
Zn  0.6253  0.1240  0.6253
Zn  0.6253  0.6253  0.1240
Zn  0.6253  0.6253  0.6253

## Properties
energy relative to the elements: 1.7 eV/f.u.
total energy: -10.9 eV per formula unit
SG: F-43m (216)

(6)
## Be2AlZn (GGA-PBE)

Data for a geometry-optimized Be2AlZn structure.

Cell lengths 4.2297, 4.2297, 4.3392 Å; angles 97.93, 97.93, 40.59 degrees
Positions (direct):
Be  0.2474  0.2474  0.2452
Be  0.7526  0.7526  0.7548
Al  0.5000  0.5000  0.0000
Zn  0.0000  0.0000  0.5000

## Properties
energy relative to the lowest polymorph listed for this composition: 87 meV per atom
energy relative to the elements: 1.1 eV/f.u.
total energy: -11.4 eV per formula unit
SG: C2/m (12)

(7)
## BeAl2Zn (GGA-PBE)

Data for a geometry-optimized BeAl2Zn structure.

Cell lengths 2.7477, 2.7477, 7.4588 Å; angles 90.00, 90.00, 90.00 degrees
Positions (direct):
Be  0.0000  0.0000  0.0000
Al  0.0000  0.0000  0.4824
Al  0.5000  0.5000  0.7735
Zn  0.5000  0.5000  0.2116

## Properties
energy relative to the lowest polymorph listed for this composition: 0 meV per atom
energy relative to the elements: 0.5 eV/f.u.
total energy: -12.0 eV per formula unit
SG: P4mm (99)

(8)
## BeAlZn3 (GGA-PBE)

Data for a geometry-optimized BeAlZn3 structure.

Cell lengths 4.3630, 4.3630, 4.3630 Å; angles 90.00, 90.00, 90.00 degrees
Positions (direct):
Be  0.0000  0.0000  0.0000
Al  0.5000  0.5000  0.5000
Zn  0.0000  0.0000  0.5000
Zn  0.0000  0.5000  0.0000
Zn  0.5000  0.0000  0.0000

## Properties
energy relative to the lowest polymorph listed for this composition: 0 meV per atom
energy relative to the elements: 1.8 eV/f.u.
total energy: -9.5 eV per formula unit
SG: Pm-3m (221)